Crystalline AcOsO3 at its relaxed geometry, computed with PBE.

Cell and atoms, written as CIF:
```
data_AcOsO3
_chemical_formula_sum 'Ac1 Os1 O3'
_cell_length_a 3.8742
_cell_length_b 3.8742
_cell_length_c 5.6772
_cell_angle_alpha 90.00
_cell_angle_beta 90.00
_cell_angle_gamma 90.00
_symmetry_space_group_name_H-M 'P 4 m m'
_symmetry_Int_Tables_number 99
_symmetry_space_group_name_Hall 'P 4 -2'
loop_
_atom_site_label
_atom_site_type_symbol
_atom_site_fract_x
_atom_site_fract_y
_atom_site_fract_z
Ac1 Ac 0.0000 0.0000 0.0000
Os1 Os 0.5000 0.5000 0.3220
O1 O 0.0000 0.0000 0.6459
O2 O 0.0000 0.5000 0.3159
```

Summary:
**Magnetization**: 0.001 μB per formula unit
**Calculated total energy**: -35.564 eV/cell